# 1
Tc2BrO | GGA-PBE | optimized geometry

Results
SG: I-42d
volume: 127.5 Å³/cell
energy above the most stable polymorph in this dataset: 0 meV/atom
total magnetization: 0.00 μB per atom
ΔE_f (raw): 3.15 kcal/mol of atoms

Cell: 7.7497 7.7497 7.7497 Å, 148.39 148.39 45.31°
Last column: nearest neighbours and their distance in Å.
Positions (direct):
Tc 0.0178 0.6250 0.8928  2 O 2.16
Tc 0.3750 0.2678 0.3928  2 O 2.16
Tc 0.7322 0.1250 0.1072  2 O 2.16
Tc 0.8750 0.9822 0.6072  2 O 2.16
Br 0.2500 0.7500 0.5000  4 Tc 2.57
Br 0.5000 0.5000 0.0000  4 Tc 2.57
O 0.0000 0.0000 0.0000  4 Tc 2.16
O 0.7500 0.2500 0.5000  4 Tc 2.16

# 2
SrCoPt2 | GGA-PBE | optimized geometry

Results
SG: P4/mmm
volume: 73.1 Å³/cell
electronic total energy: -5.3527 eV per atom
total magnetization: 0.52 μB per atom

Cell: 3.1442 3.1442 7.3931 Å, 90.00 90.00 90.00°
Last column: nearest neighbours and their distance in Å.
Positions (direct):
Sr 0.0000 0.0000 0.0000  4 Sr 3.14, 8 Pt 3.18
Co 0.0000 0.0000 0.5000  8 Pt 2.64
Pt 0.5000 0.5000 0.3072  4 Co 2.64, 1 Pt 2.85
Pt 0.5000 0.5000 0.6928  4 Co 2.64, 1 Pt 2.85